# TaAl3Pd PBE-GGA relaxed
data_TaAl3Pd
_space_group_name_H-M_alt 'P m -3 m'
_space_group_IT_number 221
_space_group_name_Hall '-P 4 2 3'
_cell_length_a 4.610
_cell_length_b 4.610
_cell_length_c 4.610
_cell_angle_alpha 90.00
_cell_angle_beta 90.00
_cell_angle_gamma 90.00
loop_
_atom_site_label
_atom_site_type_symbol
_atom_site_fract_x
_atom_site_fract_y
_atom_site_fract_z
Ta1 Ta 0.000 0.000 0.000
Al1 Al 0.000 0.500 0.500
Pd1 Pd 0.500 0.500 0.500
# Formation energy from the elements, eV/atom: 0.501
# Energy above the lowest structure with this stoichiometry, eV per formula unit: 0.000
# Energy, eV per atom: -5.1539

# TbDy3Ir PBE-GGA relaxed
data_TbDy3Ir
_space_group_name_H-M_alt 'P m n 21'
_space_group_IT_number 31
_cell_length_a 7.621
_cell_length_b 6.527
_cell_length_c 6.186
_cell_angle_alpha 90.00
_cell_angle_beta 90.00
_cell_angle_gamma 90.00
loop_
_space_group_symop_operation_xyz
'x,y,z'
'-x+1/2,-y,z+1/2'
'-x,y,z'
'x+1/2,-y,z+1/2'
loop_
_atom_site_label
_atom_site_type_symbol
_atom_site_fract_x
_atom_site_fract_y
_atom_site_fract_z
Tb1 Tb 0.000 0.152 0.000
Dy1 Dy 0.000 0.847 0.493
Dy2 Dy 0.250 0.314 0.497
Ir1 Ir 0.000 0.501 0.747
# Formation energy from the elements, eV/atom: -0.334
# Energy above the lowest structure with this stoichiometry, eV per formula unit: 0.000
# Energy, eV per atom: -5.7940

# Sc2PN2 PBE-GGA relaxed
data_Sc2PN2
_space_group_name_H-M_alt 'P 4/m b m'
_space_group_IT_number 127
_space_group_name_Hall '-P 4 2ab'
_cell_length_a 6.561
_cell_length_b 6.561
_cell_length_c 3.025
_cell_angle_alpha 90.00
_cell_angle_beta 90.00
_cell_angle_gamma 90.00
loop_
_atom_site_label
_atom_site_type_symbol
_atom_site_fract_x
_atom_site_fract_y
_atom_site_fract_z
Sc1 Sc 0.161 0.339 0.000
P1 P 0.000 0.000 0.000
N1 N 0.166 0.666 0.500
# E_form (uncorrected), eV/atom: -0.410
# Energy above the lowest structure with this stoichiometry, eV per formula unit: 1.146
# Energy, eV per atom: -7.3551